# GGA-PBE Li2CdAu5, optimized geometry
data_Li2CdAu5
_chemical_formula_sum 'Li8 Cd4 Au20'
_cell_length_a 8.0667
_cell_length_b 8.2391
_cell_length_c 8.3059
_cell_angle_alpha 90.00
_cell_angle_beta 90.00
_cell_angle_gamma 90.00
_space_group_name_H-M_alt 'F m m m'
_space_group_IT_number 69
_space_group_name_Hall '-F 2 2'
loop_
_atom_site_label
_atom_site_type_symbol
_atom_site_fract_x
_atom_site_fract_y
_atom_site_fract_z
Li1 Li 0.0000 0.2500 0.2500
Cd1 Cd 0.0000 0.0000 0.0000
Au1 Au 0.0000 0.0000 0.5000
Au2 Au 0.2500 0.0000 0.2500
Au3 Au 0.2500 0.2500 0.0000
# **ΔH_f (0 K)**: -0.359 eV/atom

=====

# GGA-PBE DyY5Ag6, optimized geometry
data_DyY5Ag6
_chemical_formula_sum 'Dy2 Y10 Ag12'
_cell_length_a 5.1732
_cell_length_b 15.5213
_cell_length_c 7.2328
_cell_angle_alpha 90.00
_cell_angle_beta 90.00
_cell_angle_gamma 90.00
_space_group_name_H-M_alt 'C m m m'
_space_group_IT_number 65
_space_group_name_Hall '-C 2 2'
loop_
_atom_site_label
_atom_site_type_symbol
_atom_site_fract_x
_atom_site_fract_y
_atom_site_fract_z
Dy1 Dy 0.0000 0.0000 0.0000
Y1 Y 0.0000 0.0000 0.5000
Y2 Y 0.0000 0.3335 0.0000
Y3 Y 0.0000 0.3332 0.5000
Ag1 Ag 0.0000 0.1664 0.2492
Ag2 Ag 0.0000 0.5000 0.2485
# **ΔH_f (0 K)**: -0.331 eV/atom

=====

# GGA-PBE BaAlTl3, optimized geometry
data_BaAlTl3
_chemical_formula_sum 'Ba1 Al1 Tl3'
_cell_length_a 6.4480
_cell_length_b 6.4480
_cell_length_c 6.4480
_cell_angle_alpha 90.00
_cell_angle_beta 90.00
_cell_angle_gamma 90.00
_space_group_name_H-M_alt 'P m -3 m'
_space_group_IT_number 221
_space_group_name_Hall '-P 4 2 3'
loop_
_atom_site_label
_atom_site_type_symbol
_atom_site_fract_x
_atom_site_fract_y
_atom_site_fract_z
Ba1 Ba 0.0000 0.0000 0.0000
Al1 Al 0.5000 0.5000 0.5000
Tl1 Tl 0.0000 0.0000 0.5000
# **ΔH_f (0 K)**: 0.882 eV/atom

=====

# GGA-PBE Nd2ReN3, optimized geometry
data_Nd2ReN3
_chemical_formula_sum 'Nd4 Re2 N6'
_cell_length_a 3.5284
_cell_length_b 3.9176
_cell_length_c 12.9011
_cell_angle_alpha 90.00
_cell_angle_beta 90.00
_cell_angle_gamma 90.00
_space_group_name_H-M_alt 'I m m m'
_space_group_IT_number 71
_space_group_name_Hall '-I 2 2'
loop_
_atom_site_label
_atom_site_type_symbol
_atom_site_fract_x
_atom_site_fract_y
_atom_site_fract_z
Nd1 Nd 0.0000 0.0000 0.1490
Re1 Re 0.0000 0.0000 0.5000
N1 N 0.0000 0.0000 0.3408
N2 N 0.0000 0.5000 0.5000
# **Formation energy (no corrections)**: -0.994 eV per atom

=====

# GGA-PBE ErScZnAg, optimized geometry
data_ErScZnAg
_chemical_formula_sum 'Er4 Sc4 Zn4 Ag4'
_cell_length_a 6.9811
_cell_length_b 6.9811
_cell_length_c 6.9811
_cell_angle_alpha 90.00
_cell_angle_beta 90.00
_cell_angle_gamma 90.00
_space_group_name_H-M_alt 'F -4 3 m'
_space_group_IT_number 216
_space_group_name_Hall 'F -4 2 3'
loop_
_atom_site_label
_atom_site_type_symbol
_atom_site_fract_x
_atom_site_fract_y
_atom_site_fract_z
Er1 Er 0.0000 0.0000 0.0000
Sc1 Sc 0.0000 0.0000 0.5000
Zn1 Zn 0.2500 0.2500 0.2500
Ag1 Ag 0.2500 0.2500 0.7500
# **ΔH_f (0 K)**: -0.309 eV/atom

=====

# GGA-PBE Pm2SnBi, optimized geometry
data_Pm2SnBi
_chemical_formula_sum 'Pm2 Sn1 Bi1'
_cell_length_a 4.1522
_cell_length_b 4.1522
_cell_length_c 6.9083
_cell_angle_alpha 90.00
_cell_angle_beta 90.00
_cell_angle_gamma 90.00
_space_group_name_H-M_alt 'P 4/m m m'
_space_group_IT_number 123
_space_group_name_Hall '-P 4 2'
loop_
_atom_site_label
_atom_site_type_symbol
_atom_site_fract_x
_atom_site_fract_y
_atom_site_fract_z
Pm1 Pm 0.0000 0.0000 0.2462
Sn1 Sn 0.5000 0.5000 0.0000
Bi1 Bi 0.5000 0.5000 0.5000
# **ΔH_f (0 K)**: -0.680 eV/atom

=====

# GGA-PBE LiAc6La, optimized geometry
data_LiAc6La
_chemical_formula_sum 'Li2 Ac12 La2'
_cell_length_a 5.5830
_cell_length_b 5.5830
_cell_length_c 21.2441
_cell_angle_alpha 90.00
_cell_angle_beta 90.00
_cell_angle_gamma 90.00
_space_group_name_H-M_alt 'I 4/m m m'
_space_group_IT_number 139
_space_group_name_Hall '-I 4 2'
loop_
_atom_site_label
_atom_site_type_symbol
_atom_site_fract_x
_atom_site_fract_y
_atom_site_fract_z
Li1 Li 0.0000 0.0000 0.0000
Ac1 Ac 0.0000 0.0000 0.2501
Ac2 Ac 0.0000 0.5000 0.1182
La1 La 0.0000 0.0000 0.5000
# **ΔH_f (0 K)**: 0.080 eV/atom

=====

# GGA-PBE KSiAsO6, optimized geometry
data_KSiAsO6
_chemical_formula_sum 'K1 Si1 As1 O6'
_cell_length_a 4.8270
_cell_length_b 4.8270
_cell_length_c 6.1948
_cell_angle_alpha 90.00
_cell_angle_beta 90.00
_cell_angle_gamma 120.00
_space_group_name_H-M_alt 'P 3 1 2'
_space_group_IT_number 149
loop_
_space_group_symop_operation_xyz
'x,y,z'
'-y,x-y,z'
'-x+y,-x,z'
'-y,-x,-z'
'-x+y,y,-z'
'x,x-y,-z'
loop_
_atom_site_label
_atom_site_type_symbol
_atom_site_fract_x
_atom_site_fract_y
_atom_site_fract_z
K1 K 0.0000 0.0000 0.0000
Si1 Si 0.6667 0.3333 0.5000
As1 As 0.3333 0.6667 0.5000
O1 O 0.3747 0.0110 0.6623
# **Formation energy (no corrections)**: -1.447 eV per atom

=====

DFT total energy
In order: -96.0, -116.0, -8.4, -105.8, -65.0, -20.1, -61.7, -53.9
Unit: eV per cell